[1]
First-principles (GGA+U) data for a geometry-optimized NiPbO2 structure, as listed in the Alexandria database.

Structure (extended XYZ):
```
8
Lattice="-2.8696 2.8696 3.5819 2.8696 -2.8696 3.5819 2.8696 2.8696 -3.5819" Properties=species:S:1:pos:R:3 pbc="T T T"
Ni 0.0000 0.0000 0.0000
Ni 0.0000 2.8696 1.7910
Pb 2.8696 0.0000 1.7910
Pb 0.0000 0.0000 3.5819
O 4.3043 1.0014 -0.8955
O 1.0014 1.4348 0.8955
O -1.4348 1.8682 2.6864
O 1.8682 1.4348 4.4774
```

[2]
First-principles (GGA+U) data for a geometry-optimized Ni2PbO4 structure, as listed in the Alexandria database.

Structure (extended XYZ):
```
14
Lattice="0.0000 5.7165 2.9613 5.1145 0.0000 2.9613 5.1145 5.7165 0.0000" Properties=species:S:1:pos:R:3 pbc="T T T"
Ni 5.5526 3.0999 2.9613
Ni 7.2335 5.9582 4.4419
Ni 4.6763 8.3332 2.9613
Ni 2.9954 5.4749 4.4419
Pb 5.1145 5.7165 1.4885
Pb 7.6717 8.5748 2.9691
O 4.0384 3.7072 1.5430
O 8.7478 6.5655 3.0236
O 6.5613 4.8643 2.8647
O 1.0761 2.0093 1.5430
O 9.1186 9.4270 4.3454
O 3.6676 6.5687 2.8647
O 1.4811 4.8676 3.0236
O 6.2248 7.7226 4.3454
```

[3]
5
Lattice="4.9907 0.0000 0.0000 0.0000 4.9907 0.0000 0.0000 0.0000 4.9907" Properties=species:S:1:pos:R:3 comment="NiPb3O GGA+U optimized geometry" relative_energy_ev_per_atom=0.2045 pbc="T T T"
Ni 0.0000 0.0000 0.0000
Pb 0.0000 0.0000 2.4954
Pb 0.0000 2.4954 0.0000
Pb 2.4954 0.0000 0.0000
O 2.4954 2.4954 2.4954

[4]
First-principles (GGA+U) data for a geometry-optimized NiPb2O4 structure, as listed in the Alexandria database.

Structure (extended XYZ):
```
7
Lattice="-1.9428 1.9428 6.1739 1.9428 -1.9428 6.1739 1.9428 1.9428 -6.1739" Properties=species:S:1:pos:R:3 pbc="T T T"
Ni 0.0000 0.0000 0.0000
Pb 0.0000 0.0000 4.4255
Pb 0.0000 0.0000 7.9223
O 1.9428 0.0000 0.0000
O 0.0000 0.0000 2.0650
O 0.0000 1.9428 0.0000
O 0.0000 0.0000 10.2828
```

[5]
5
Lattice="4.9210 0.0000 0.0000 0.0000 4.9210 0.0000 0.0000 0.0000 4.9210" Properties=species:S:1:pos:R:3 comment="NiPb3O GGA+U optimized geometry" relative_energy_ev_per_atom=0.0000 pbc="T T T"
Ni 0.0000 0.0000 0.0000
Pb 0.0000 2.4605 2.4605
Pb 2.4605 0.0000 2.4605
Pb 2.4605 2.4605 0.0000
O 2.4605 2.4605 2.4605

[6]
First-principles (GGA+U) data for a geometry-optimized NiPbO3 structure, as listed in the Alexandria database.

Structure (extended XYZ):
```
5
Lattice="4.1602 0.0000 0.0000 0.0000 4.1602 0.0000 0.0000 0.0000 4.1602" Properties=species:S:1:pos:R:3 pbc="T T T"
Ni 0.0000 0.0000 0.0000
Pb 2.0801 2.0801 2.0801
O 0.0000 2.0801 2.0801
O 2.0801 0.0000 2.0801
O 2.0801 2.0801 0.0000
```

[7]
First-principles (GGA+U) data for a geometry-optimized NiPbO2 structure, as listed in the Alexandria database.

Structure (extended XYZ):
```
8
Lattice="4.9477 -2.7458 0.0000 4.9477 2.7458 0.0000 -1.2481 0.0000 4.7219" Properties=species:S:1:pos:R:3 pbc="T T T"
Ni 0.0000 0.0000 0.0000
Ni 7.2062 0.0000 0.1645
Pb 1.1387 0.0000 2.9457
Pb 4.1896 0.0000 1.3333
O 2.3279 1.4881 4.3404
O 6.0177 1.3477 0.7889
O 2.3279 -1.4881 4.3404
O 6.0177 -1.3477 0.7889
```

[8]
First-principles (GGA+U) data for a geometry-optimized NiPbO3 structure, as listed in the Alexandria database.

Structure (extended XYZ):
```
5
Lattice="3.8043 0.0000 0.0000 0.0000 3.8043 0.0000 0.0000 0.0000 3.8043" Properties=species:S:1:pos:R:3 pbc="T T T"
Ni 0.0000 0.0000 0.0000
Pb 1.9021 1.9021 1.9021
O 0.0000 0.0000 1.9021
O 0.0000 1.9021 0.0000
O 1.9021 0.0000 0.0000
```

[9]
First-principles (GGA+U) data for a geometry-optimized NiPbO structure, as listed in the Alexandria database.

Structure (extended XYZ):
```
12
Lattice="5.7831 0.0000 0.0000 1.0837 5.9395 0.0000 1.8459 2.6194 6.1110" Properties=species:S:1:pos:R:3 pbc="T T T"
Ni 0.0000 0.0000 0.0000
Ni 2.8150 6.7139 4.4795
Ni 2.8400 3.9764 0.3088
Ni 4.7632 4.4908 3.2422
Pb 1.7516 4.0612 3.6116
Pb 2.5079 1.0701 0.8558
Pb 5.8446 7.4771 3.6088
Pb 5.5041 3.4647 0.7996
O 2.4622 1.9101 3.0064
O 3.2032 4.8523 1.9688
O 4.5561 5.7472 4.7112
O 4.8108 1.1539 1.2332
```

[10]
5
Lattice="-2.5526 2.5526 3.7177 2.5526 -2.5526 3.7177 2.5526 2.5526 -3.7177" Properties=species:S:1:pos:R:3 comment="NiPb2O2 GGA+U optimized geometry" relative_energy_ev_per_atom=0.0000 pbc="T T T"
Ni 0.0000 0.0000 0.0000
Pb 2.5526 0.0000 1.8588
Pb 0.0000 2.5526 1.8588
O 0.0000 0.0000 1.8837
O 0.0000 0.0000 5.5516

[11]
10
Lattice="6.4841 0.0000 0.0000 0.0000 6.4841 0.0000 0.0000 0.0000 4.0052" Properties=species:S:1:pos:R:3 comment="NiPb2O2 GGA+U optimized geometry" relative_energy_ev_per_atom=0.1067 pbc="T T T"
Ni 0.0000 0.0000 0.0000
Ni 3.2420 3.2420 0.0000
Pb 1.1074 2.1346 2.0026
Pb 2.1346 5.3767 2.0026
Pb 4.3494 1.1074 2.0026
Pb 5.3767 4.3494 2.0026
O 1.2563 4.4984 0.0000
O 1.9857 1.2563 0.0000
O 4.4984 5.2278 0.0000
O 5.2278 1.9857 0.0000

[12]
First-principles (GGA+U) data for a geometry-optimized NiPbO3 structure, as listed in the Alexandria database.

Structure (extended XYZ):
```
10
Lattice="2.7234 1.5724 4.7947 -2.7234 1.5724 4.7947 0.0000 -3.1447 4.7947" Properties=species:S:1:pos:R:3 pbc="T T T"
Ni 0.0000 0.0000 0.0000
Ni 0.0000 0.0000 7.1921
Pb 0.0000 0.0000 4.1421
Pb 0.0000 0.0000 11.3342
O -0.6987 -1.4621 5.7771
O -1.8065 -0.2362 8.1745
O -0.9169 1.3362 5.7771
O 1.1078 -1.4464 8.1745
O 1.6156 0.1260 5.7771
O 0.6987 1.6826 8.1745
```

no.,DFT total energy (eV/cell)
1,-37.4
2,-69.6
3,-15.9
4,-35.4
5,-16.9
6,-19.6
7,-38.9
8,-24.2
9,-47.7
10,-22.2
11,-43.3
12,-51.8